1.
VASP calculation (PBE) on HfGaPt2 after structural relaxation.

**Formation energy from the elements**: -772 meV per atom
**ρ**: 15.90 Mg/m³
**Calculated total energy**: -7.0377 eV/atom

Cell: 4.082 4.082 4.001 Å, 90.00 90.00 90.00°
Atoms (fractional coordinates):
Hf 0.000 0.000 0.000
Ga 0.500 0.500 0.000
Pt 0.000 0.500 0.500
Pt 0.500 0.000 0.500

***

2.
VASP calculation (PBE) on PbW2Au after structural relaxation.

**Formation energy from the elements**: 846 meV per atom
**ρ**: 17.26 Mg/m³
**Calculated total energy**: -7.3772 eV/atom

Cell: 5.641 5.641 5.641 Å, 147.11 129.72 61.40°
Atoms (fractional coordinates):
Pb 0.000 0.000 0.000
W 0.250 0.750 0.500
W 0.750 0.250 0.500
Au 0.500 0.500 0.000